First-principles (PBE+U) data for a relaxed structure of Mn4I3O2, as listed in the Alexandria database.

abc: 5.969 8.608 8.608
angles: 84.43 88.03 88.03
Atoms (fractional coordinates):
Mn  0.511  0.099  0.635
I  0.530  0.757  0.038
I  0.470  0.243  0.962
Mn  0.290  0.722  0.726
I  0.750  0.408  0.592
O  0.962  0.392  0.142
O  0.038  0.608  0.858
Mn  0.710  0.278  0.274
Mn  0.489  0.901  0.365
I  0.250  0.592  0.408
I  0.970  0.962  0.243
Mn  0.790  0.726  0.722
O  0.538  0.858  0.608
Mn  0.210  0.274  0.278
Mn  0.989  0.365  0.901
I  0.030  0.038  0.757
O  0.462  0.142  0.392
Mn  0.011  0.635  0.099

Total DFT energy (no corrections)   -51.40 eV per formula unit
Space group   C2/c, No. 15